Y8Ho2Er3, optimized geometry, DFT GGA-PBE; energy of formation = 0.2398 eV/atom; space-group type = C2/m; size of the total moment = 0.00 μB per atom; Fermi-level density of states = 23.4 states/eV/cell; uncorrected energy = -5.50 eV per atom
1.0
-5.400 -1.557 -0.054
2.047 -7.032 -2.028
-0.359 0.902 10.746
Y Ho Er
8 2 3
direct
0.001 0.669 0.338 Y
0.999 0.331 0.662 Y
0.000 0.133 0.266 Y
0.000 0.867 0.734 Y
0.500 0.605 0.785 Y
0.500 0.181 0.785 Y
0.500 0.819 0.215 Y
0.500 0.395 0.215 Y
0.499 0.241 0.483 Ho
0.501 0.759 0.517 Ho
0.500 0.000 0.000 Er
0.000 0.283 0.000 Er
0.000 0.717 0.000 Er